[1]
Li5AlZn: optimized geometry, GGA-PBE.

The calculation puts the excess energy over the best structure of this formula in the dataset at 0.0000 eV per atom. The value obtained for the formation energy is -48.4 meV per atom.

Cell lengths 5.5877, 5.5877, 9.2927 Å; angles 82.77, 82.77, 57.49 degrees
Closest atoms and distances in Å follow each position.
Sites, in units of the cell vectors:
Li  0.7896  0.7580  0.2043  5 Li 2.63-2.84, 1 Zn 2.70, 2 Al 2.73-2.93
Li  0.3558  0.3589  0.5235  3 Li 2.63-2.77
Li  0.7580  0.7896  0.7043  5 Li 2.63-2.84, 1 Zn 2.70, 2 Al 2.73-2.93
Li  0.2602  0.7398  0.2500  2 Al 2.61-2.76, 2 Li 2.66, 2 Zn 2.71
Li  0.6411  0.6442  0.9765  3 Li 2.63-2.77
Li  0.3589  0.3558  0.0235  3 Li 2.63-2.77
Li  0.7398  0.2602  0.7500  2 Al 2.61-2.76, 2 Li 2.66, 2 Zn 2.71
Li  0.2420  0.2104  0.2957  5 Li 2.63-2.84, 1 Zn 2.70, 2 Al 2.73-2.93
Li  0.6442  0.6411  0.4765  3 Li 2.63-2.77
Li  0.2104  0.2420  0.7957  5 Li 2.63-2.84, 1 Zn 2.70, 2 Al 2.73-2.93
Al  0.7463  0.2537  0.2500  4 Li 2.61-2.76, 2 Zn 2.69
Al  0.2537  0.7463  0.7500  4 Li 2.61-2.76, 2 Zn 2.69
Zn  0.0000  0.0000  0.0000  2 Al 2.69, 6 Li 2.70-3.02
Zn  0.0000  0.0000  0.5000  2 Al 2.69, 6 Li 2.70-3.02

---

[2]
Li2CaTl2: optimized geometry, GGA-PBE.

The calculation puts the excess energy over the best structure of this formula in the dataset at 0.0087 eV per atom. The value obtained for the formation energy is -258.8 meV per atom.

Cell lengths 8.1972, 8.1972, 3.4867 Å; angles 90.00, 90.00, 90.00 degrees
Closest atoms and distances in Å follow each position.
Sites, in units of the cell vectors:
Tl  0.1771  0.6771  0.5000  6 Li 2.94-3.03
Tl  0.6771  0.8229  0.5000  6 Li 2.94-3.03
Tl  0.8229  0.3229  0.5000  6 Li 2.94-3.03
Tl  0.3229  0.1771  0.5000  6 Li 2.94-3.03
Ca  0.0000  0.0000  0.0000  4 Li 3.27, 8 Tl 3.49, 2 Ca 3.49
Ca  0.5000  0.5000  0.0000  4 Li 3.27, 8 Tl 3.49, 2 Ca 3.49
Li  0.3810  0.8810  0.0000  1 Li 2.76, 6 Tl 2.94-3.03
Li  0.8810  0.6190  0.0000  1 Li 2.76, 6 Tl 2.94-3.03
Li  0.6190  0.1190  0.0000  1 Li 2.76, 6 Tl 2.94-3.03
Li  0.1190  0.3810  0.0000  1 Li 2.76, 6 Tl 2.94-3.03

---

[3]
K2RbSbI6: optimized geometry, GGA-PBE.

The calculation puts the excess energy over the best structure of this formula in the dataset at 0.0000 eV per atom. The value obtained for the uncorrected formation energy is -1.013 eV/atom.

Cell lengths 8.7847, 8.7858, 9.1699 Å; angles 61.38, 61.38, 59.99 degrees
Closest atoms and distances in Å follow each position.
Sites, in units of the cell vectors:
K  0.5280  0.5280  0.4159  6 I 3.58-3.66
K  0.0130  0.0130  0.9610  6 I 3.52-3.64
Rb  0.8142  0.8143  0.5573  6 I 3.62-3.79
Sb  0.3265  0.3265  0.0205  6 I 3.05-3.08
I  0.5600  0.2196  0.2432  1 Sb 3.08
I  0.2196  0.9772  0.2432  1 Sb 3.08
I  0.9772  0.5600  0.2432  1 Sb 3.08
I  0.4099  0.6810  0.7769  1 Sb 3.05
I  0.6811  0.1321  0.7769  1 Sb 3.05
I  0.1320  0.4099  0.7769  1 Sb 3.05

---

[4]
Na2GeTeAs: optimized geometry, GGA-PBE.

The value obtained for the uncorrected formation energy is 0.097 eV/atom.

Cell lengths 5.8986, 4.5755, 5.8986 Å; angles 90.00, 90.00, 90.00 degrees
Closest atoms and distances in Å follow each position.
Sites, in units of the cell vectors:
Na  0.0000  0.0000  0.5000  2 Ge 2.95
Na  0.5000  0.0000  0.0000  2 Ge 2.95
As  0.0000  0.5000  0.0000  2 Ge 2.29
Te  0.5000  0.5000  0.5000  8 Na 3.73, 4 As 4.17
Ge  0.0000  0.0000  0.0000  2 As 2.29

---

[5]
Al5Mo: optimized geometry, GGA-PBE.

The calculation puts the excess energy over the best structure of this formula in the dataset at 0.1751 eV per atom. The value obtained for the formation energy is -75.3 meV per atom.

Cell lengths 6.5714, 6.5714, 4.0211 Å; angles 90.00, 90.00, 147.37 degrees
Closest atoms and distances in Å follow each position.
Sites, in units of the cell vectors:
Al  0.3338  0.6662  0.5000  10 Al 2.73-2.96, 2 Mo 2.90
Al  0.1616  0.8384  0.0000  10 Al 2.73-2.96, 2 Mo 2.75
Al  0.0000  0.0000  0.5000  4 Mo 2.73, 8 Al 2.79-2.86
Al  0.8384  0.1616  0.0000  10 Al 2.73-2.96, 2 Mo 2.75
Al  0.6662  0.3338  0.5000  10 Al 2.73-2.96, 2 Mo 2.90
Mo  0.5000  0.5000  0.0000  12 Al 2.73-2.90

---

[6]
Tb5HoEr: optimized geometry, GGA-PBE.

The calculation puts the excess energy over the best structure of this formula in the dataset at 0.7767 eV per atom. The value obtained for the formation energy is 965.8 meV per atom.

Cell lengths 6.1105, 7.9630, 7.6904 Å; angles 121.18, 113.41, 90.00 degrees
Closest atoms and distances in Å follow each position.
Sites, in units of the cell vectors:
Tb  0.1892  0.2548  0.5095  1 Ho 2.97, 1 Er 3.27, 1 Tb 3.28
Tb  0.1695  0.5000  0.0000  2 Er 2.90-3.21, 2 Tb 3.03
Tb  0.6797  0.7452  0.4905  1 Ho 2.97, 1 Er 3.27, 1 Tb 3.28
Tb  0.4329  0.8217  0.0000  2 Tb 2.84-3.03, 1 Er 3.02
Tb  0.4329  0.1783  0.0000  2 Tb 2.84-3.03, 1 Er 3.02
Ho  0.9320  0.0000  0.0000  2 Tb 2.97
Er  0.6944  0.5000  0.0000  4 Tb 2.90-3.21

---

[7]
Li6ZnGe2: optimized geometry, GGA-PBE.

The value obtained for the formation energy is -245.9 meV per atom.

Cell lengths 2.7548, 7.5966, 7.5957 Å; angles 120.01, 89.99, 90.00 degrees
Closest atoms and distances in Å follow each position.
Sites, in units of the cell vectors:
Li  0.4993  0.3387  0.3387  3 Li 2.45-2.57
Li  0.5007  0.0000  0.6613  3 Li 2.45-2.57
Li  0.5007  0.6613  0.6613  3 Li 2.45-2.57
Li  0.5000  0.3388  0.0000  3 Li 2.45-2.57
Li  0.4993  0.0000  0.3387  3 Li 2.45-2.57
Li  0.5000  0.6612  0.0000  3 Li 2.45-2.57
Zn  0.0000  0.0000  0.0000  2 Zn 2.75, 12 Li 2.92
Ge  0.9999  0.6667  0.3334  2 Ge 2.75, 12 Li 2.86-2.87
Ge  0.0001  0.3333  0.6666  2 Ge 2.75, 12 Li 2.86-2.87

---

[8]
Tb7InAg4: optimized geometry, GGA-PBE.

The value obtained for the formation energy is -81.1 meV per atom.

Cell lengths 5.7087, 8.7762, 7.7731 Å; angles 66.96, 68.46, 71.02 degrees
Closest atoms and distances in Å follow each position.
Sites, in units of the cell vectors:
Tb  0.8205  0.8787  0.4803  6 Tb 3.28-3.59, 1 In 3.30, 3 Ag 3.36-3.50
Tb  0.1795  0.1213  0.5197  6 Tb 3.28-3.59, 1 In 3.30, 3 Ag 3.36-3.50
Tb  0.0773  0.5925  0.2530  3 Ag 2.96-3.12, 1 Tb 3.28, 1 In 3.31
Tb  0.9227  0.4075  0.7470  3 Ag 2.96-3.12, 1 Tb 3.28, 1 In 3.31
Tb  0.2759  0.6847  0.7634  4 Ag 2.89-3.16
Tb  0.5000  0.0000  0.0000  2 In 2.85, 4 Ag 2.91-3.08
Tb  0.7241  0.3153  0.2366  4 Ag 2.89-3.16
In  0.0000  0.0000  0.0000  2 Tb 2.85
Ag  0.5245  0.3151  0.6359  4 Tb 2.89-3.12, 2 Ag 3.00-3.09
Ag  0.4755  0.6849  0.3641  4 Tb 2.89-3.12, 2 Ag 3.00-3.09
Ag  0.6901  0.6622  0.9576  5 Tb 2.91-3.16, 1 Ag 3.00
Ag  0.3099  0.3378  0.0424  5 Tb 2.91-3.16, 1 Ag 3.00

---

It is found that the theoretical density values, taken in the order of the records, are 1.74; 6.56; 3.40; 3.35; 4.09; 6.60; 3.04; 8.46 Mg/m³.